# ErCuNiRh PBE optimized geometry
data_ErCuNiRh
_symmetry_space_group_name_H-M 'F -4 3 m'
_symmetry_Int_Tables_number 216
_symmetry_space_group_name_Hall 'F -4 2 3'
_cell_length_a 6.287
_cell_length_b 6.287
_cell_length_c 6.287
_cell_angle_alpha 90.00
_cell_angle_beta 90.00
_cell_angle_gamma 90.00
loop_
_atom_site_label
_atom_site_type_symbol
_atom_site_fract_x
_atom_site_fract_y
_atom_site_fract_z
Er1 Er 0.000 0.000 0.000
Cu1 Cu 0.000 0.000 0.500
Ni1 Ni 0.250 0.250 0.750
Rh1 Rh 0.250 0.250 0.250
# **Energy of formation**: -0.33 eV/atom
# **DOS at the Fermi energy**: 4.4 states/eV per cell
# **E**: -92.4 eV per cell
# **Crystal system**: cubic

=====

# ErScCuNi PBE optimized geometry
data_ErScCuNi
_symmetry_space_group_name_H-M 'P 4 m m'
_symmetry_Int_Tables_number 99
_cell_length_a 3.294
_cell_length_b 3.294
_cell_length_c 6.644
_cell_angle_alpha 90.00
_cell_angle_beta 90.00
_cell_angle_gamma 90.00
loop_
_symmetry_equiv_pos_as_xyz
'x,y,z'
'-y,x,z'
'-x,-y,z'
'y,-x,z'
'-x,y,z'
'y,x,z'
'x,-y,z'
'-y,-x,z'
loop_
_atom_site_label
_atom_site_type_symbol
_atom_site_fract_x
_atom_site_fract_y
_atom_site_fract_z
Er1 Er 0.000 0.000 0.000
Sc1 Sc 0.000 0.000 0.514
Cu1 Cu 0.500 0.500 0.280
Ni1 Ni 0.500 0.500 0.735
# **Energy of formation**: -0.37 eV/atom
# **Relative energy among the computed polymorphs**: 0.000 eV per atom
# **DOS at the Fermi energy**: 3.1 states/eV per cell
# **E**: -22.2 eV per cell
# **Crystal system**: tetragonal

=====

# ErScCuNi PBE optimized geometry
data_ErScCuNi
_symmetry_space_group_name_H-M 'F -4 3 m'
_symmetry_Int_Tables_number 216
_symmetry_space_group_name_Hall 'F -4 2 3'
_cell_length_a 6.606
_cell_length_b 6.606
_cell_length_c 6.606
_cell_angle_alpha 90.00
_cell_angle_beta 90.00
_cell_angle_gamma 90.00
loop_
_atom_site_label
_atom_site_type_symbol
_atom_site_fract_x
_atom_site_fract_y
_atom_site_fract_z
Er1 Er 0.000 0.000 0.000
Sc1 Sc 0.000 0.000 0.500
Cu1 Cu 0.250 0.250 0.250
Ni1 Ni 0.250 0.250 0.750
# **Energy of formation**: -0.35 eV/atom
# **Relative energy among the computed polymorphs**: 0.012 eV per atom
# **DOS at the Fermi energy**: 12.5 states/eV per cell
# **E**: -88.8 eV per cell
# **Crystal system**: cubic

=====

# Er2CuSi2Ni5 PBE optimized geometry
data_Er2CuSi2Ni5
_symmetry_space_group_name_H-M 'P 4/m b m'
_symmetry_Int_Tables_number 127
_symmetry_space_group_name_Hall '-P 4 2ab'
_cell_length_a 9.503
_cell_length_b 9.503
_cell_length_c 3.209
_cell_angle_alpha 90.00
_cell_angle_beta 90.00
_cell_angle_gamma 90.00
loop_
_atom_site_label
_atom_site_type_symbol
_atom_site_fract_x
_atom_site_fract_y
_atom_site_fract_z
Er1 Er 0.177 0.323 0.000
Cu1 Cu 0.000 0.000 0.000
Si1 Si 0.122 0.622 0.000
Ni1 Ni 0.000 0.500 0.500
Ni2 Ni 0.056 0.793 0.500
# **DOS at the Fermi energy**: 19.1 states/eV per cell
# **E**: -113.8 eV per cell
# **Crystal system**: tetragonal
# **Uncorrected formation energy**: -391 meV/atom

=====

# Er2CuSi4Ni3 PBE optimized geometry
data_Er2CuSi4Ni3
_symmetry_space_group_name_H-M 'P -4 m 2'
_symmetry_Int_Tables_number 115
_cell_length_a 3.943
_cell_length_b 3.943
_cell_length_c 9.583
_cell_angle_alpha 90.00
_cell_angle_beta 90.00
_cell_angle_gamma 90.00
loop_
_symmetry_equiv_pos_as_xyz
'x,y,z'
'y,-x,-z'
'-x,-y,z'
'-y,x,-z'
'-x,y,z'
'-y,-x,-z'
'x,-y,z'
'y,x,-z'
loop_
_atom_site_label
_atom_site_type_symbol
_atom_site_fract_x
_atom_site_fract_y
_atom_site_fract_z
Er1 Er 0.000 0.500 0.248
Cu1 Cu 0.000 0.000 0.500
Si1 Si 0.000 0.000 0.000
Si2 Si 0.000 0.500 0.637
Si3 Si 0.500 0.500 0.000
Ni1 Ni 0.000 0.500 0.876
Ni2 Ni 0.500 0.500 0.500
# **DOS at the Fermi energy**: 3.7 states/eV per cell
# **E**: -60.1 eV per cell
# **Crystal system**: tetragonal
# **Uncorrected formation energy**: -781 meV/atom

=====

# Er2CuSi3Ni12 PBE optimized geometry
data_Er2CuSi3Ni12
_symmetry_space_group_name_H-M 'R -3 m'
_symmetry_Int_Tables_number 166
_symmetry_space_group_name_Hall '-R 3 2"'
_cell_length_a 8.3745
_cell_length_b 8.3745
_cell_length_c 11.7742
_cell_angle_alpha 90.00
_cell_angle_beta 90.00
_cell_angle_gamma 120.00
loop_
_atom_site_label
_atom_site_type_symbol
_atom_site_fract_x
_atom_site_fract_y
_atom_site_fract_z
Er1 Er 0.0000 0.0000 0.1552
Cu1 Cu 0.0000 0.0000 0.5000
Si1 Si 0.0000 0.5000 0.0000
Ni1 Ni 0.0098 0.5049 0.1923
Ni2 Ni 0.0097 0.5049 0.3911
# **DOS at the Fermi energy**: 36.1 states/eV per cell
# **E**: -305.5 eV per cell
# **Crystal system**: trigonal
# **Uncorrected formation energy**: -165 meV/atom

=====

# Er3Cu2SiNi9 PBE optimized geometry
data_Er3Cu2SiNi9
_symmetry_space_group_name_H-M 'P -3 m 1'
_symmetry_Int_Tables_number 164
_symmetry_space_group_name_Hall '-P 3 2"'
_cell_length_a 5.8626
_cell_length_b 5.8626
_cell_length_c 8.2941
_cell_angle_alpha 90.00
_cell_angle_beta 90.00
_cell_angle_gamma 120.00
loop_
_atom_site_label
_atom_site_type_symbol
_atom_site_fract_x
_atom_site_fract_y
_atom_site_fract_z
Er1 Er 0.0000 0.0000 0.0000
Er2 Er 0.3333 0.6667 0.7002
Cu1 Cu 0.3333 0.6667 0.1923
Si1 Si 0.0000 0.0000 0.5000
Ni1 Ni 0.0000 0.5000 0.0000
Ni2 Ni 0.1351 0.2702 0.2915
# **DOS at the Fermi energy**: 6.7 states/eV per cell
# **E**: -79.7 eV per cell
# **Crystal system**: trigonal
# **Uncorrected formation energy**: -25 meV/atom

=====

# ErCu2SiNi2 PBE optimized geometry
data_ErCu2SiNi2
_symmetry_space_group_name_H-M 'P 4/m m m'
_symmetry_Int_Tables_number 123
_symmetry_space_group_name_Hall '-P 4 2'
_cell_length_a 4.218
_cell_length_b 4.218
_cell_length_c 5.428
_cell_angle_alpha 90.00
_cell_angle_beta 90.00
_cell_angle_gamma 90.00
loop_
_atom_site_label
_atom_site_type_symbol
_atom_site_fract_x
_atom_site_fract_y
_atom_site_fract_z
Er1 Er 0.000 0.000 0.000
Cu1 Cu 0.500 0.500 0.233
Si1 Si 0.000 0.000 0.500
Ni1 Ni 0.000 0.500 0.500
# **DOS at the Fermi energy**: 5.5 states/eV per cell
# **E**: -30.2 eV per cell
# **Crystal system**: tetragonal
# **Uncorrected formation energy**: -72 meV/atom

=====

# ErCuSi2Ni5 PBE optimized geometry
data_ErCuSi2Ni5
_symmetry_space_group_name_H-M 'P 4/m m m'
_symmetry_Int_Tables_number 123
_symmetry_space_group_name_Hall '-P 4 2'
_cell_length_a 3.754
_cell_length_b 3.754
_cell_length_c 8.685
_cell_angle_alpha 90.00
_cell_angle_beta 90.00
_cell_angle_gamma 90.00
loop_
_atom_site_label
_atom_site_type_symbol
_atom_site_fract_x
_atom_site_fract_y
_atom_site_fract_z
Er1 Er 0.000 0.000 0.000
Cu1 Cu 0.000 0.000 0.500
Si1 Si 0.500 0.500 0.369
Ni1 Ni 0.000 0.500 0.231
Ni2 Ni 0.500 0.500 0.000
# **DOS at the Fermi energy**: 2.3 states/eV per cell
# **E**: -50.6 eV per cell
# **Crystal system**: tetragonal
# **Uncorrected formation energy**: -242 meV/atom

=====

# SmErCuNi PBE optimized geometry
data_SmErCuNi
_symmetry_space_group_name_H-M 'A m m 2'
_symmetry_Int_Tables_number 38
_cell_length_a 4.415
_cell_length_b 3.734
_cell_length_c 10.262
_cell_angle_alpha 90.00
_cell_angle_beta 90.00
_cell_angle_gamma 90.00
loop_
_symmetry_equiv_pos_as_xyz
'x,y,z'
'-x,-y,z'
'-x,y,z'
'x,-y,z'
'x,y+1/2,z+1/2'
'-x,-y+1/2,z+1/2'
'-x,y+1/2,z+1/2'
'x,-y+1/2,z+1/2'
loop_
_atom_site_label
_atom_site_type_symbol
_atom_site_fract_x
_atom_site_fract_y
_atom_site_fract_z
Sm1 Sm 0.000 0.000 0.000
Er1 Er 0.500 0.000 0.721
Cu1 Cu 0.500 0.000 0.429
Ni1 Ni 0.000 0.000 0.286
# **Energy of formation**: -0.33 eV/atom
# **DOS at the Fermi energy**: 6.0 states/eV per cell
# **E**: -41.0 eV per cell
# **Crystal system**: orthorhombic

=====

# ErThCuNi PBE optimized geometry
data_ErThCuNi
_symmetry_space_group_name_H-M 'A m m 2'
_symmetry_Int_Tables_number 38
_cell_length_a 4.295
_cell_length_b 3.671
_cell_length_c 10.841
_cell_angle_alpha 90.00
_cell_angle_beta 90.00
_cell_angle_gamma 90.00
loop_
_symmetry_equiv_pos_as_xyz
'x,y,z'
'-x,-y,z'
'-x,y,z'
'x,-y,z'
'x,y+1/2,z+1/2'
'-x,-y+1/2,z+1/2'
'-x,y+1/2,z+1/2'
'x,-y+1/2,z+1/2'
loop_
_atom_site_label
_atom_site_type_symbol
_atom_site_fract_x
_atom_site_fract_y
_atom_site_fract_z
Er1 Er 0.000 0.000 0.000
Th1 Th 0.500 0.000 0.273
Cu1 Cu 0.500 0.000 0.560
Ni1 Ni 0.000 0.000 0.721
# **Energy of formation**: -0.34 eV/atom
# **Relative energy among the computed polymorphs**: 0.000 eV per atom
# **DOS at the Fermi energy**: 5.7 states/eV per cell
# **E**: -46.4 eV per cell
# **Crystal system**: orthorhombic